Material: PuCo2N
Method: DFT, PBE
State: optimized geometry

Values from the calculation:
Size of the total moment: 4.99 μB per formula unit
E: -8.86 eV/atom
Energy relative to the elements, uncorrected: 0.36 eV/atom

a b c (Å): 2.8950 2.8950 22.1696
angles (deg): 90.00 90.00 120.00
Atoms (fractional coordinates):
Pu (0.0000, 0.0000, 0.0000)
Pu (0.3333, 0.6667, 0.6667)
Pu (0.6667, 0.3333, 0.3333)
Co (0.0000, 0.0000, 0.1241)
Co (0.0000, 0.0000, 0.8759)
Co (0.3333, 0.6667, 0.5426)
Co (0.3333, 0.6667, 0.7908)
Co (0.6667, 0.3333, 0.2092)
Co (0.6667, 0.3333, 0.4574)
N (0.0000, 0.0000, 0.5000)
N (0.3333, 0.6667, 0.1667)
N (0.6667, 0.3333, 0.8333)



Material: PuCoSiN
Method: DFT, PBE
State: optimized geometry

Values from the calculation:
Size of the total moment: 4.99 μB per formula unit
E: -9.72 eV/atom
Energy relative to the elements, uncorrected: -0.92 eV/atom

a b c (Å): 3.6941 3.6941 8.1134
angles (deg): 90.00 90.00 90.00
Atoms (fractional coordinates):
Pu (0.2500, 0.2500, 0.1571)
Pu (0.7500, 0.7500, 0.8429)
Co (0.2500, 0.7500, 0.5000)
Co (0.7500, 0.2500, 0.5000)
Si (0.2500, 0.2500, 0.6529)
Si (0.7500, 0.7500, 0.3471)
N (0.2500, 0.2500, 0.8748)
N (0.7500, 0.7500, 0.1252)



Material: SmPu2CoN4
Method: DFT, PBE
State: optimized geometry

Values from the calculation:
Size of the total moment: 6.00 μB per formula unit
E: -10.27 eV/atom
Energy relative to the elements, uncorrected: -1.05 eV/atom

a b c (Å): 5.8864 5.8864 11.3899
angles (deg): 90.00 90.00 146.24
Atoms (fractional coordinates):
Sm (0.1038, 0.8962, 0.7500)
Sm (0.8962, 0.1038, 0.2500)
Pu (0.3690, 0.6310, 0.5566)
Pu (0.3690, 0.6310, 0.9434)
Pu (0.6310, 0.3690, 0.0566)
Pu (0.6310, 0.3690, 0.4434)
Co (0.1579, 0.8421, 0.2500)
Co (0.8421, 0.1579, 0.7500)
N (0.0000, 0.0000, 0.0000)
N (0.0000, 0.0000, 0.5000)
N (0.2643, 0.7357, 0.1144)
N (0.2643, 0.7357, 0.3856)
N (0.4449, 0.5551, 0.7500)
N (0.5551, 0.4449, 0.2500)
N (0.7357, 0.2643, 0.6144)
N (0.7357, 0.2643, 0.8856)



Material: SrPu2CoN4
Method: DFT, PBE
State: optimized geometry

Values from the calculation:
Size of the total moment: 4.99 μB per formula unit
E: -9.76 eV/atom
Energy relative to the elements, uncorrected: -0.92 eV/atom

a b c (Å): 6.0295 6.0295 11.4476
angles (deg): 90.00 90.00 146.59
Atoms (fractional coordinates):
Sr (0.0968, 0.9032, 0.7500)
Sr (0.9032, 0.0968, 0.2500)
Pu (0.3682, 0.6318, 0.5558)
Pu (0.3682, 0.6318, 0.9442)
Pu (0.6318, 0.3682, 0.0558)
Pu (0.6318, 0.3682, 0.4442)
Co (0.1713, 0.8287, 0.2500)
Co (0.8287, 0.1713, 0.7500)
N (0.0000, 0.0000, 0.0000)
N (0.0000, 0.0000, 0.5000)
N (0.2560, 0.7440, 0.1042)
N (0.2560, 0.7440, 0.3958)
N (0.4218, 0.5782, 0.7500)
N (0.5782, 0.4218, 0.2500)
N (0.7440, 0.2560, 0.6042)
N (0.7440, 0.2560, 0.8958)



Material: Pu2TaCoN5
Method: DFT, PBE
State: optimized geometry

Values from the calculation:
Size of the total moment: 7.75 μB per formula unit
E: -10.79 eV/atom
Energy relative to the elements, uncorrected: -0.87 eV/atom

a b c (Å): 6.5773 6.5773 10.1377
angles (deg): 90.00 90.00 151.81
Atoms (fractional coordinates):
Pu (0.1029, 0.8971, 0.5000)
Pu (0.1428, 0.8572, 0.1237)
Pu (0.8572, 0.1428, 0.6237)
Pu (0.8971, 0.1029, 0.0000)
Ta (0.2005, 0.7995, 0.8282)
Ta (0.7995, 0.2005, 0.3282)
Co (0.4788, 0.5212, 0.2747)
Co (0.5212, 0.4788, 0.7747)
N (0.0477, 0.9523, 0.8822)
N (0.2825, 0.7175, 0.4709)
N (0.3230, 0.6770, 0.1905)
N (0.3669, 0.6331, 0.8114)
N (0.4866, 0.5134, 0.5935)
N (0.5134, 0.4866, 0.0935)
N (0.6331, 0.3669, 0.3114)
N (0.6770, 0.3230, 0.6905)
N (0.7175, 0.2825, 0.9709)
N (0.9523, 0.0477, 0.3822)



Material: TbPu2CoN4
Method: DFT, PBE
State: optimized geometry

Values from the calculation:
Size of the total moment: 6.00 μB per formula unit
E: -10.26 eV/atom
Energy relative to the elements, uncorrected: -1.05 eV/atom

a b c (Å): 5.8422 5.8422 11.3790
angles (deg): 90.00 90.00 146.27
Atoms (fractional coordinates):
Tb (0.1056, 0.8944, 0.7500)
Tb (0.8944, 0.1056, 0.2500)
Pu (0.3691, 0.6309, 0.5572)
Pu (0.3691, 0.6309, 0.9428)
Pu (0.6309, 0.3691, 0.0572)
Pu (0.6309, 0.3691, 0.4428)
Co (0.1560, 0.8440, 0.2500)
Co (0.8440, 0.1560, 0.7500)
N (0.0000, 0.0000, 0.0000)
N (0.0000, 0.0000, 0.5000)
N (0.2664, 0.7336, 0.1165)
N (0.2664, 0.7336, 0.3835)
N (0.4503, 0.5497, 0.7500)
N (0.5497, 0.4503, 0.2500)
N (0.7336, 0.2664, 0.6165)
N (0.7336, 0.2664, 0.8835)



Material: Pu2CoTcN5
Method: DFT, PBE
State: optimized geometry

Values from the calculation:
Size of the total moment: 6.66 μB per formula unit
E: -10.30 eV/atom
Energy relative to the elements, uncorrected: -0.55 eV/atom

a b c (Å): 6.5157 6.5157 9.7579
angles (deg): 90.00 90.00 151.08
Atoms (fractional coordinates):
Pu (0.1035, 0.8965, 0.5000)
Pu (0.1499, 0.8501, 0.1281)
Pu (0.8501, 0.1499, 0.6281)
Pu (0.8965, 0.1035, 0.0000)
Co (0.4736, 0.5264, 0.2684)
Co (0.5264, 0.4736, 0.7684)
Tc (0.2009, 0.7991, 0.8376)
Tc (0.7991, 0.2009, 0.3376)
N (0.0506, 0.9494, 0.8686)
N (0.2839, 0.7161, 0.4717)
N (0.3234, 0.6766, 0.1864)
N (0.3710, 0.6290, 0.8138)
N (0.4845, 0.5155, 0.5850)
N (0.5155, 0.4845, 0.0850)
N (0.6290, 0.3710, 0.3138)
N (0.6766, 0.3234, 0.6864)
N (0.7161, 0.2839, 0.9717)
N (0.9494, 0.0506, 0.3686)



Material: PuTh2Co2N6
Method: DFT, PBE
State: optimized geometry

Values from the calculation:
Size of the total moment: 2.54 μB per formula unit
E: -9.11 eV/atom
Energy relative to the elements, uncorrected: -0.63 eV/atom

a b c (Å): 6.4144 6.4144 6.4144
angles (deg): 51.25 51.25 51.25
Atoms (fractional coordinates):
Pu (0.0000, 0.0000, 0.0000)
Th (0.2148, 0.2148, 0.2148)
Th (0.7852, 0.7852, 0.7852)
Co (0.3974, 0.3974, 0.3974)
Co (0.6026, 0.6026, 0.6026)
N (0.2220, 0.7483, 0.7483)
N (0.2517, 0.2517, 0.7780)
N (0.2517, 0.7780, 0.2517)
N (0.7483, 0.2220, 0.7483)
N (0.7483, 0.7483, 0.2220)
N (0.7780, 0.2517, 0.2517)